Entry 1:
# Be16Nb2C

An optimized crystal structure of Be16Nb2C (GGA-PBE, the Alexandria database).

Computed properties:
Space group   R3m, No. 160
Fermi-level density of states   4.0 states/eV/cell
ΔH_f (0 K)   -0.04 eV/atom

a = 5.541 Å, b = 5.541 Å, c = 5.541 Å
α = 84.21°, β = 84.21°, γ = 84.21°
Fractional positions:
Be: 0.838 0.345 0.345
Nb: 0.336 0.336 0.336
Be: 0.001 0.501 0.001
Be: 0.316 0.688 0.005
Be: 0.659 0.167 0.659
Be: 0.001 0.001 0.501
Be: 0.688 0.316 0.005
Nb: 0.674 0.674 0.674
Be: 0.167 0.659 0.659
Be: 0.501 0.001 0.001
Be: 0.345 0.838 0.345
Be: 0.316 0.005 0.688
Be: 0.066 0.066 0.066
Be: 0.005 0.688 0.316
Be: 0.345 0.345 0.838
Be: 0.688 0.005 0.316
C: 0.889 0.889 0.889
Be: 0.659 0.659 0.167
Be: 0.005 0.316 0.688

=====

Entry 2:
# K2SnTeS

An optimized crystal structure of K2SnTeS (GGA-PBE, the Alexandria database).

Computed properties:
Space group   P2_1/m, No. 11
ΔE_f (raw)   -0.828 eV per atom

a = 4.462 Å, b = 7.556 Å, c = 12.227 Å
α = 110.31°, β = 90.00°, γ = 90.00°
Fractional positions:
Te: 0.250 0.703 0.377
K: 0.250 0.210 0.367
Te: 0.750 0.297 0.623
S: 0.750 0.207 0.179
K: 0.250 0.206 0.995
Sn: 0.750 0.553 0.213
K: 0.750 0.790 0.633
Sn: 0.250 0.447 0.787
S: 0.250 0.793 0.821
K: 0.750 0.794 0.005

=====

Entry 3:
# Zr2TaTl

An optimized crystal structure of Zr2TaTl (GGA-PBE, the Alexandria database).

Computed properties:
Space group   Immm, No. 71
Distance to the lowest polymorph of the same formula   148.4 meV per atom
Fermi-level density of states   5.3 states/eV/cell
ΔH_f (0 K)   0.14 eV/atom

a = 5.470 Å, b = 5.470 Å, c = 5.470 Å
α = 133.02°, β = 132.90°, γ = 68.71°
Fractional positions:
Tl: 0.250 0.750 0.500
Zr: 0.500 0.500 0.000
Zr: 0.000 0.000 0.000
Ta: 0.750 0.250 0.500

=====

Entry 4:
# PrSi3OsRh

An optimized crystal structure of PrSi3OsRh (GGA-PBE, the Alexandria database).

Computed properties:
Space group   Cmcm, No. 63
ΔE_f (raw)   -0.460 eV per atom
Fermi-level density of states   4.1 states/eV/cell

a = 5.576 Å, b = 7.386 Å, c = 6.853 Å
α = 122.61°, β = 90.00°, γ = 90.00°
Fractional positions:
Si: 0.500 0.255 0.000
Rh: 0.750 0.566 0.132
Rh: 0.250 0.434 0.868
Os: 0.250 0.052 0.105
Si: 0.000 0.255 0.000
Pr: 0.750 0.240 0.481
Si: 0.500 0.745 0.000
Si: 0.000 0.745 0.000
Si: 0.250 0.245 0.490
Pr: 0.250 0.760 0.519
Os: 0.750 0.948 0.895
Si: 0.750 0.755 0.510

=====

Entry 5:
# YNpScO6

An optimized crystal structure of YNpScO6 (GGA-PBE, the Alexandria database).

Computed properties:
Space group   P-31c, No. 163
ΔE_f (raw)   -3.208 eV per atom

a = 5.525 Å, b = 5.525 Å, c = 9.600 Å
α = 90.00°, β = 90.00°, γ = 120.00°
Fractional positions:
O: 0.993 0.647 0.363
Np: 0.667 0.333 0.250
O: 0.007 0.654 0.863
Np: 0.333 0.667 0.750
O: 0.647 0.993 0.863
O: 0.647 0.654 0.637
Sc: 0.333 0.667 0.250
Y: 0.000 0.000 0.000
O: 0.353 0.007 0.137
O: 0.353 0.346 0.363
O: 0.993 0.346 0.137
O: 0.654 0.647 0.137
O: 0.346 0.993 0.637
O: 0.654 0.007 0.363
O: 0.007 0.353 0.637
Sc: 0.667 0.333 0.750
O: 0.346 0.353 0.863
Y: 0.000 0.000 0.500

=====

Entry 6:
# TbErAg2

An optimized crystal structure of TbErAg2 (GGA-PBE, the Alexandria database).

Computed properties:
Space group   Fm-3m, No. 225
Fermi-level density of states   2.3 states/eV/cell
ΔH_f (0 K)   -0.32 eV/atom

a = 5.134 Å, b = 5.134 Å, c = 5.134 Å
α = 60.00°, β = 60.00°, γ = 60.00°
Fractional positions:
Tb: 0.000 0.000 0.000
Er: 0.500 0.500 0.500
Ag: 0.250 0.250 0.250
Ag: 0.750 0.750 0.750

=====

Entry 7:
# Sn2GeOsF

An optimized crystal structure of Sn2GeOsF (GGA-PBE, the Alexandria database).

Computed properties:
Space group   P4/mmm, No. 123
ΔE_f (raw)   0.528 eV per atom
Fermi-level density of states   4.0 states/eV/cell

a = 5.041 Å, b = 4.055 Å, c = 5.041 Å
α = 90.00°, β = 90.00°, γ = 90.00°
Fractional positions:
Sn: 0.000 0.000 0.500
F: 0.000 0.000 0.000
Os: 0.000 0.500 0.000
Sn: 0.500 0.000 0.000
Ge: 0.500 0.500 0.500

=====

Entry 8:
# Ta3Cu5H12

An optimized crystal structure of Ta3Cu5H12 (GGA-PBE, the Alexandria database).

Computed properties:
Space group   Ia-3d, No. 230
DFT total energy   -373.747 eV per cell
Fermi-level density of states   22.4 states/eV/cell

a = 9.358 Å, b = 9.358 Å, c = 9.358 Å
α = 109.47°, β = 109.47°, γ = 109.47°
Fractional positions:
Cu: 0.625 0.750 0.875
H: 0.051 0.413 0.825
H: 0.862 0.274 0.449
H: 0.138 0.726 0.551
Cu: 0.750 0.625 0.375
H: 0.949 0.362 0.274
H: 0.325 0.551 0.413
H: 0.362 0.949 0.774
H: 0.175 0.088 0.726
Cu: 0.375 0.125 0.750
Cu: 0.875 0.250 0.625
H: 0.588 0.862 0.413
H: 0.913 0.825 0.551
H: 0.638 0.051 0.226
H: 0.274 0.862 0.949
H: 0.912 0.087 0.638
H: 0.551 0.325 0.913
Ta: 0.875 0.750 0.125
H: 0.825 0.913 0.051
Cu: 0.375 0.250 0.125
Cu: 0.000 0.500 0.000
H: 0.675 0.226 0.588
H: 0.774 0.449 0.362
H: 0.412 0.274 0.325
H: 0.449 0.675 0.087
H: 0.088 0.913 0.362
H: 0.138 0.412 0.087
Ta: 0.250 0.625 0.875
Cu: 0.500 0.500 0.000
Cu: 0.625 0.875 0.250
H: 0.726 0.138 0.051
Ta: 0.750 0.875 0.625
Cu: 0.125 0.750 0.375
Cu: 0.500 0.500 0.500
H: 0.175 0.087 0.949
Ta: 0.875 0.125 0.250
H: 0.087 0.912 0.138
Cu: 0.750 0.125 0.875
H: 0.912 0.825 0.774
H: 0.325 0.774 0.412
H: 0.051 0.638 0.726
H: 0.913 0.088 0.862
H: 0.088 0.175 0.226
Cu: 0.125 0.375 0.250
H: 0.949 0.587 0.175
Ta: 0.250 0.125 0.375
H: 0.587 0.949 0.675
Cu: 0.875 0.625 0.750
H: 0.226 0.551 0.638
H: 0.087 0.175 0.449
H: 0.449 0.774 0.862
H: 0.588 0.726 0.675
Ta: 0.750 0.375 0.125
Ta: 0.375 0.625 0.250
Ta: 0.375 0.750 0.625
H: 0.412 0.138 0.587
Ta: 0.125 0.875 0.750
H: 0.362 0.413 0.088
H: 0.587 0.638 0.412
H: 0.825 0.912 0.274
H: 0.862 0.588 0.913
Cu: 0.000 0.500 0.500
H: 0.413 0.362 0.588
H: 0.551 0.226 0.138
H: 0.774 0.325 0.912
Cu: 0.000 0.000 0.500
H: 0.726 0.588 0.175
Ta: 0.125 0.250 0.875
Ta: 0.625 0.250 0.375
Cu: 0.500 0.000 0.000
Cu: 0.500 0.000 0.500
H: 0.675 0.449 0.587
Cu: 0.250 0.875 0.125
Ta: 0.625 0.375 0.750
H: 0.226 0.675 0.088
H: 0.638 0.587 0.912
H: 0.274 0.412 0.825
Cu: 0.250 0.375 0.625
H: 0.413 0.051 0.325
Cu: 0.000 0.000 0.000

=====

Computed values of ρ (unit: g/cm3) for the preceding records, in sequence: 3.4, 3.1, 11.0, 7.2, 6.1, 9.4, 8.4, 9.2.